! Er2ThRuN4, relaxed, DFT PBE; values from VASP
! Mass density, Mg/m³: 10.5
! Total magnetization, μB per formula unit: 0.0
! VASP energy, eV per atom: -8.54
! Energy relative to the elements, uncorrected, eV/atom: -1.146
&SYSTEM
  ibrav = 0, nat = 16, ntyp = 4
/
ATOMIC_SPECIES
Er 167.26 Er.upf
Th 232.04 Th.upf
Ru 101.07 Ru.upf
N 14.01 N.upf
CELL_PARAMETERS angstrom
3.4148 0.0000 0.0000
-1.7074 5.8408 0.0000
0.0000 0.0000 11.4276
ATOMIC_POSITIONS crystal
Er 0.3701 0.7403 0.5479
Er 0.6299 0.2597 0.0479
Er 0.6299 0.2597 0.4521
Er 0.3701 0.7403 0.9521
Th 0.1142 0.2285 0.7500
Th 0.8858 0.7715 0.2500
Ru 0.8559 0.7118 0.7500
Ru 0.1441 0.2882 0.2500
N 0.2729 0.5457 0.1277
N 0.7271 0.4543 0.6277
N 0.7271 0.4543 0.8723
N 0.2729 0.5457 0.3723
N 0.0000 0.0000 0.5000
N 0.0000 0.0000 0.0000
N 0.4566 0.9131 0.7500
N 0.5434 0.0869 0.2500

=====

! YEr2RuN4, relaxed, DFT PBE; values from VASP
! Mass density, Mg/m³: 8.6
! Total magnetization, μB per formula unit: 0.0
! VASP energy, eV per atom: -8.33
! Energy relative to the elements, uncorrected, eV/atom: -1.058
&SYSTEM
  ibrav = 0, nat = 16, ntyp = 4
/
ATOMIC_SPECIES
Y 88.91 Y.upf
Er 167.26 Er.upf
Ru 101.07 Ru.upf
N 14.01 N.upf
CELL_PARAMETERS angstrom
3.3666 0.0000 0.0000
-1.6833 5.7429 0.0000
0.0000 0.0000 11.5314
ATOMIC_POSITIONS crystal
Y 0.1297 0.2595 0.7500
Y 0.8703 0.7405 0.2500
Er 0.3688 0.7376 0.5418
Er 0.6312 0.2624 0.0418
Er 0.6312 0.2624 0.4582
Er 0.3688 0.7376 0.9582
Ru 0.8655 0.7310 0.7500
Ru 0.1345 0.2690 0.2500
N 0.2671 0.5341 0.1289
N 0.7329 0.4659 0.6289
N 0.7329 0.4659 0.8711
N 0.2671 0.5341 0.3711
N 0.0000 0.0000 0.5000
N 0.0000 0.0000 0.0000
N 0.4528 0.9055 0.7500
N 0.5472 0.0945 0.2500

=====

! Er2SN, relaxed, DFT PBE; values from VASP
! Mass density, Mg/m³: 9.2
! Energy relative to the lowest polymorph listed for this composition, meV/atom: 0
! Total magnetization, μB per formula unit: 0.0
! VASP energy, eV per atom: -7.27
! Energy relative to the elements, uncorrected, eV/atom: -1.876
&SYSTEM
  ibrav = 0, nat = 4, ntyp = 3
/
ATOMIC_SPECIES
S 32.06 S.upf
N 14.01 N.upf
Er 167.26 Er.upf
CELL_PARAMETERS angstrom
3.5787 0.0000 0.0000
1.7894 3.0993 0.0000
1.7894 1.0331 6.1957
ATOMIC_POSITIONS crystal
S 0.0000 0.0000 0.0000
N 0.5000 0.5000 0.5000
Er 0.7639 0.7639 0.7082
Er 0.2361 0.2361 0.2918

=====

! Er2SN, relaxed, DFT PBE; values from VASP
! Mass density, Mg/m³: 9.1
! Energy relative to the lowest polymorph listed for this composition, meV/atom: 55
! Total magnetization, μB per formula unit: 0.0
! VASP energy, eV per atom: -7.22
! Energy relative to the elements, uncorrected, eV/atom: -1.821
&SYSTEM
  ibrav = 0, nat = 4, ntyp = 3
/
ATOMIC_SPECIES
Er 167.26 Er.upf
S 32.06 S.upf
N 14.01 N.upf
CELL_PARAMETERS angstrom
-3.3012 1.1755 0.5801
-2.6178 -0.8840 -2.2319
-3.2007 -5.0715 2.9365
ATOMIC_POSITIONS crystal
Er 0.0673 0.0673 0.7980
Er 0.2638 0.2638 0.2085
S 0.4990 0.4990 0.5031
N 0.6698 0.6698 0.9905